[1]
Compound: Pm6AgI8
Source: the Alexandria database
Functional: PBE
Structure: relaxed

Output
crystal system	trigonal
VASP energy	-3.94	eV per atom

abc: 7.602 7.602 12.503
angles: 72.30 72.30 60.00
Sites, in units of the cell vectors:
Pm 0.949 0.637 0.152
Pm 0.738 0.051 0.848
Pm 0.363 0.738 0.848
Pm 0.637 0.262 0.152
Pm 0.262 0.949 0.152
Pm 0.051 0.363 0.848
Ag 0.000 0.000 0.000
I 0.764 0.450 0.680
I 0.893 0.236 0.320
I 0.550 0.893 0.320
I 0.333 0.333 0.000
I 0.667 0.667 0.000
I 0.450 0.107 0.680
I 0.107 0.764 0.680
I 0.236 0.550 0.320



[2]
Compound: Pm2AgI
Source: the Alexandria database
Functional: PBE
Structure: relaxed

Output
crystal system	trigonal
VASP energy	-3.95	eV per atom

abc: 4.221 4.221 8.486
angles: 75.60 75.60 60.00
Sites, in units of the cell vectors:
Pm 0.072 0.072 0.785
Pm 0.262 0.262 0.215
Ag 0.667 0.667 0.998
I 0.499 0.499 0.502



[3]
Compound: PmPrAgI
Source: the Alexandria database
Functional: PBE
Structure: relaxed

Output
crystal system	cubic
VASP energy	-3.87	eV per atom

abc: 5.438 5.438 5.438
angles: 60.00 60.00 60.00
Sites, in units of the cell vectors:
Pr 0.250 0.250 0.250
I 0.000 0.000 0.000
Ag 0.500 0.500 0.500
Pm 0.750 0.750 0.750



[4]
Compound: RbPm2AgI8
Source: the Alexandria database
Functional: PBE
Structure: relaxed

Output
crystal system	triclinic
VASP energy	-3.32	eV per atom

abc: 7.895 7.743 9.459
angles: 90.07 89.88 81.15
Sites, in units of the cell vectors:
Rb 0.000 0.000 0.500
Pm 0.500 0.500 0.760
Pm 0.500 0.500 0.240
Ag 0.000 0.000 0.000
I 0.150 0.735 0.215
I 0.628 0.729 0.001
I 0.849 0.262 0.214
I 0.850 0.265 0.785
I 0.372 0.271 0.999
I 0.151 0.738 0.786
I 0.623 0.713 0.500
I 0.377 0.287 0.500



[5]
Compound: Rb3PmAg2I8
Source: the Alexandria database
Functional: PBE
Structure: relaxed

Output
crystal system	trigonal
VASP energy	-2.89	eV per atom

abc: 8.609 8.609 10.667
angles: 90.00 90.00 120.00
Sites, in units of the cell vectors:
Rb 0.333 0.667 0.604
Rb 0.667 0.333 0.396
Rb 0.000 0.000 0.000
Pm 0.000 0.000 0.500
Ag 0.333 0.667 0.182
Ag 0.667 0.333 0.818
I 0.333 0.667 0.931
I 0.667 0.333 0.069
I 0.165 0.835 0.325
I 0.835 0.165 0.675
I 0.165 0.330 0.325
I 0.835 0.670 0.675
I 0.670 0.835 0.325
I 0.330 0.165 0.675



[6]
Compound: RbPmAg2I6
Source: the Alexandria database
Functional: PBE
Structure: relaxed

Output
crystal system	triclinic
VASP energy	-3.01	eV per atom

abc: 8.081 8.085 9.773
angles: 89.99 114.45 119.99
Sites, in units of the cell vectors:
Rb 0.997 0.498 0.480
Pm 0.997 0.998 0.980
Ag 0.451 0.725 0.162
Ag 0.542 0.271 0.797
I 0.543 0.929 0.767
I 0.450 0.066 0.194
I 0.825 0.757 0.194
I 0.141 0.382 0.194
I 0.852 0.613 0.767
I 0.168 0.238 0.767